A relaxed Tl2BiCl8 crystal, computed with PBE.

Values from the calculation:
uncorrected formation energy	-0.70	eV/atom
symmetry	No. 12

a b c (Å): 4.1074 7.0567 13.9204
angles (deg): 109.21 98.48 90.00
Fractional positions:
Tl1 0.8437 0.4522 0.6874
Tl2 0.1563 0.5478 0.3126
Bi1 0.5000 0.0000 0.0000
Cl1 0.4246 0.6285 0.8492
Cl2 0.6783 0.8008 0.3566
Cl3 0.8072 0.7246 0.6144
Cl4 0.9515 0.1273 0.9029
Cl5 0.1928 0.2754 0.3856
Cl6 0.3217 0.1992 0.6434
Cl7 0.5754 0.3715 0.1508
Cl8 0.0485 0.8727 0.0971

A relaxed TlBi3Cl crystal, computed with PBE.

Values from the calculation:
uncorrected formation energy	0.43	eV/atom
offset from the most stable computed form	0	meV/atom
symmetry	No. 221

a b c (Å): 5.6454 5.6454 5.6454
angles (deg): 90.00 90.00 90.00
Fractional positions:
Tl1 0.5000 0.5000 0.5000
Bi1 0.0000 0.5000 0.0000
Bi2 0.0000 0.0000 0.5000
Bi3 0.5000 0.0000 0.0000
Cl1 0.0000 0.0000 0.0000

A relaxed TlBiCl6 crystal, computed with PBE.

Values from the calculation:
uncorrected formation energy	-0.78	eV/atom
offset from the most stable computed form	0	meV/atom
symmetry	No. 166

a b c (Å): 7.0453 8.1336 8.1336
angles (deg): 67.98 73.22 106.78
Fractional positions:
Tl1 0.0000 0.0000 0.0000
Bi1 0.5000 0.0000 0.0000
Cl1 0.1514 0.7362 0.0000
Cl2 0.4152 0.2638 0.7362
Cl3 0.8486 0.2638 0.0000
Cl4 0.8486 0.0000 0.7362
Cl5 0.5848 0.7362 0.2638
Cl6 0.1514 0.0000 0.2638

A relaxed TlBi2Cl crystal, computed with PBE.

Values from the calculation:
uncorrected formation energy	-0.24	eV/atom
offset from the most stable computed form	0	meV/atom
symmetry	No. 122

a b c (Å): 4.5546 4.5546 13.1677
angles (deg): 80.04 80.04 90.00
Fractional positions:
Tl1 0.0000 0.0000 0.0000
Tl2 0.7500 0.2500 0.5000
Bi1 0.6041 0.1250 0.2500
Bi2 0.1459 0.6250 0.2500
Bi3 0.3750 0.3959 0.7500
Bi4 0.8750 0.8541 0.7500
Cl1 0.5000 0.5000 0.0000
Cl2 0.2500 0.7500 0.5000

A relaxed Tl4BiCl6 crystal, computed with PBE.

Values from the calculation:
uncorrected formation energy	-0.85	eV/atom
symmetry	No. 128

a b c (Å): 8.8049 8.8049 9.0506
angles (deg): 90.00 90.00 90.00
Fractional positions:
Tl1 0.3404 0.1596 0.2500
Tl2 0.1596 0.6596 0.7500
Tl3 0.6596 0.8404 0.7500
Tl4 0.8404 0.3404 0.7500
Tl5 0.3404 0.1596 0.7500
Tl6 0.1596 0.6596 0.2500
Tl7 0.8404 0.3404 0.2500
Tl8 0.6596 0.8404 0.2500
Bi1 0.5000 0.5000 0.0000
Bi2 0.0000 0.0000 0.5000
Cl1 0.3174 0.8702 0.5000
Cl2 0.8174 0.6298 0.0000
Cl3 0.6298 0.1826 0.0000
Cl4 0.1298 0.3174 0.5000
Cl5 0.0000 0.0000 0.2003
Cl6 0.5000 0.5000 0.2997
Cl7 0.3702 0.8174 0.0000
Cl8 0.0000 0.0000 0.7997
Cl9 0.1826 0.3702 0.0000
Cl10 0.5000 0.5000 0.7003
Cl11 0.8702 0.6826 0.5000
Cl12 0.6826 0.1298 0.5000

A relaxed Tl5BiCl8 crystal, computed with PBE.

Values from the calculation:
uncorrected formation energy	-0.99	eV/atom
symmetry	No. 82

a b c (Å): 8.2035 8.2035 8.2035
angles (deg): 110.38 110.38 107.67
Fractional positions:
Tl1 0.8735 0.2541 0.8618
Tl2 0.7459 0.6077 0.6194
Tl3 0.3923 0.0117 0.1382
Tl4 0.5000 0.5000 0.0000
Tl5 0.9883 0.1265 0.3806
Bi1 0.2500 0.7500 0.5000
Cl1 0.0362 0.7474 0.1432
Cl2 0.2526 0.3958 0.2889
Cl3 0.5712 0.8389 0.3956
Cl4 0.1611 0.5567 0.7323
Cl5 0.8244 0.4288 0.2677
Cl6 0.1070 0.9638 0.7111
Cl7 0.6042 0.8930 0.8568
Cl8 0.4433 0.1756 0.6044

A relaxed Tl3Bi2Cl9 crystal, computed with PBE.

Values from the calculation:
uncorrected formation energy	-1.00	eV/atom
symmetry	No. 167

a b c (Å): 9.8248 9.8248 9.8248
angles (deg): 84.24 84.24 84.24
Fractional positions:
Tl1 0.4558 0.7500 0.0442
Tl2 0.2500 0.9558 0.5442
Tl3 0.9558 0.5442 0.2500
Tl4 0.0442 0.4558 0.7500
Tl5 0.7500 0.0442 0.4558
Tl6 0.5442 0.2500 0.9558
Bi1 0.1446 0.1446 0.1446
Bi2 0.6446 0.6446 0.6446
Bi3 0.8554 0.8554 0.8554
Bi4 0.3554 0.3554 0.3554
Cl1 0.7243 0.9403 0.0821
Cl2 0.0597 0.9179 0.2757
Cl3 0.2500 0.4102 0.0898
Cl4 0.5597 0.7757 0.4179
Cl5 0.5898 0.9102 0.7500
Cl6 0.9102 0.7500 0.5898
Cl7 0.2243 0.5821 0.4403
Cl8 0.5821 0.4403 0.2243
Cl9 0.9179 0.2757 0.0597
Cl10 0.0821 0.7243 0.9403
Cl11 0.4179 0.5597 0.7757
Cl12 0.4102 0.0898 0.2500
Cl13 0.7757 0.4179 0.5597
Cl14 0.0898 0.2500 0.4102
Cl15 0.4403 0.2243 0.5821
Cl16 0.7500 0.5898 0.9102
Cl17 0.9403 0.0821 0.7243
Cl18 0.2757 0.0597 0.9179

A relaxed Tl3BiCl crystal, computed with PBE.

Values from the calculation:
uncorrected formation energy	0.03	eV/atom
offset from the most stable computed form	92	meV/atom
symmetry	No. 221

a b c (Å): 6.3136 6.3136 6.3136
angles (deg): 90.00 90.00 90.00
Fractional positions:
Tl1 0.0000 0.5000 0.0000
Tl2 0.0000 0.0000 0.5000
Tl3 0.5000 0.0000 0.0000
Bi1 0.0000 0.0000 0.0000
Cl1 0.5000 0.5000 0.5000

A relaxed TlBi2Cl7 crystal, computed with PBE.

Values from the calculation:
uncorrected formation energy	-1.00	eV/atom
offset from the most stable computed form	0	meV/atom
symmetry	No. 2

a b c (Å): 7.4370 8.8038 11.1051
angles (deg): 76.34 71.65 72.34
Fractional positions:
Tl1 0.0357 0.6734 0.1302
Tl2 0.9643 0.3266 0.8698
Bi1 0.3053 0.1363 0.1531
Bi2 0.6947 0.8637 0.8469
Bi3 0.4482 0.7566 0.5253
Bi4 0.5518 0.2434 0.4747
Cl1 0.7229 0.0300 0.0174
Cl2 0.2771 0.9700 0.9826
Cl3 0.9274 0.2334 0.2054
Cl4 0.0726 0.7666 0.7946
Cl5 0.2365 0.8571 0.3556
Cl6 0.7635 0.1429 0.6444
Cl7 0.3133 0.0669 0.6258
Cl8 0.6867 0.9331 0.3742
Cl9 0.3170 0.3454 0.2996
Cl10 0.6830 0.6546 0.7004
Cl11 0.7099 0.5352 0.3944
Cl12 0.2901 0.4648 0.6056
Cl13 0.3103 0.3800 0.9691
Cl14 0.6897 0.6200 0.0309

A relaxed Tl6Bi3Cl14 crystal, computed with PBE.

Values from the calculation:
uncorrected formation energy	-0.93	eV/atom
symmetry	No. 143

a b c (Å): 7.6772 11.1429 11.1429
angles (deg): 120.00 90.00 90.00
Fractional positions:
Tl1 0.2474 0.8054 0.0890
Tl2 0.2474 0.9110 0.7163
Tl3 0.2474 0.2837 0.1946
Tl4 0.8261 0.5384 0.5568
Tl5 0.8261 0.4432 0.9816
Tl6 0.8261 0.0184 0.4616
Bi1 0.7788 0.0000 0.0000
Bi2 0.3584 0.3333 0.6667
Bi3 0.4362 0.6667 0.3333
Cl1 0.9893 0.0730 0.2301
Cl2 0.9893 0.7699 0.8429
Cl3 0.9893 0.1571 0.9270
Cl4 0.5195 0.2313 0.4337
Cl5 0.5195 0.5663 0.7976
Cl6 0.5195 0.2024 0.7687
Cl7 0.4261 0.0000 0.0000
Cl8 0.9963 0.3333 0.6667
Cl9 0.6397 0.7614 0.1977
Cl10 0.6397 0.8023 0.5637
Cl11 0.6397 0.4363 0.2386
Cl12 0.2270 0.5803 0.4799
Cl13 0.2270 0.5201 0.1004
Cl14 0.2270 0.8996 0.4197

A relaxed TlBi2Cl crystal, computed with PBE.

Values from the calculation:
uncorrected formation energy	-0.05	eV/atom
offset from the most stable computed form	191	meV/atom
symmetry	No. 225

a b c (Å): 5.3976 5.3976 5.3976
angles (deg): 60.00 60.00 60.00
Fractional positions:
Tl1 0.5000 0.5000 0.5000
Bi1 0.2500 0.2500 0.2500
Bi2 0.7500 0.7500 0.7500
Cl1 0.0000 0.0000 0.0000

A relaxed Tl2BiCl6 crystal, computed with PBE.

Values from the calculation:
uncorrected formation energy	-0.88	eV/atom
offset from the most stable computed form	0	meV/atom
symmetry	No. 136

a b c (Å): 6.9401 6.9401 12.9030
angles (deg): 90.00 90.00 90.00
Fractional positions:
Tl1 0.0000 0.0000 0.3364
Tl2 0.5000 0.5000 0.8364
Tl3 0.5000 0.5000 0.1636
Tl4 0.0000 0.0000 0.6636
Bi1 0.0000 0.0000 0.0000
Bi2 0.5000 0.5000 0.5000
Cl1 0.3066 0.3066 0.3463
Cl2 0.6934 0.6934 0.3463
Cl3 0.1934 0.8066 0.8463
Cl4 0.8066 0.1934 0.8463
Cl5 0.1934 0.8066 0.1537
Cl6 0.8066 0.1934 0.1537
Cl7 0.3066 0.3066 0.6537
Cl8 0.6934 0.6934 0.6537
Cl9 0.2761 0.2761 0.0000
Cl10 0.7239 0.7239 0.0000
Cl11 0.2239 0.7761 0.5000
Cl12 0.7761 0.2239 0.5000